[1]
Entry from Alexandria via LeMat-Bulk: a relaxed MnMoOsO2 crystal (GGA+U).

The structure in POSCAR format:
```
MnMoOsO2
1.0
3.600 0.000 0.000
0.000 3.600 0.000
0.000 0.000 5.861
Mn Mo Os O
1 1 1 2
Cartesian
0.000 0.000 0.000
0.000 0.000 2.930
1.800 1.800 2.930
0.000 1.800 0.000
1.800 0.000 0.000
```

## Properties
Total energy in eV/atom: -6.06
Density of states at the Fermi level in states/eV/cell: 5.37

[2]
Entry from Alexandria via LeMat-Bulk: a relaxed MnMoPO2 crystal (GGA+U).

The structure in POSCAR format:
```
MnMoPO2
1.0
3.742 0.000 0.000
0.000 3.742 0.000
0.000 0.000 5.004
Mn Mo P O
1 1 1 2
Cartesian
0.000 0.000 0.000
1.871 1.871 2.502
0.000 0.000 2.502
0.000 1.871 0.000
1.871 0.000 0.000
```

## Properties
ΔE to the lowest computed polymorph in eV per atom: 0.4614
Total energy in eV/atom: -6.26
Density of states at the Fermi level in states/eV/cell: 2.27

[3]
Entry from Alexandria via LeMat-Bulk: a relaxed MnMoPO2 crystal (GGA+U).

The structure in POSCAR format:
```
MnMoPO2
1.0
3.865 0.000 0.000
0.000 3.865 0.000
0.000 0.000 5.288
Mn Mo P O
1 1 1 2
Cartesian
0.000 0.000 0.000
1.933 1.933 2.644
1.933 1.933 0.000
0.000 1.933 2.644
1.933 0.000 2.644
```

## Properties
ΔE to the lowest computed polymorph in eV per atom: 0.0000
Total energy in eV/atom: -6.72
Density of states at the Fermi level in states/eV/cell: 2.24

[4]
Entry from Alexandria via LeMat-Bulk: a relaxed PaMn4MoO8 crystal (GGA+U).

The structure in POSCAR format:
```
PaMn4MoO8
1.0
3.197 1.846 5.291
-3.197 1.846 5.291
0.000 -3.691 5.291
Pa Mn Mo O
1 4 1 8
Cartesian
0.000 0.000 0.000
0.000 -1.763 8.439
-1.527 0.881 8.439
0.000 0.000 11.687
1.527 0.881 8.439
0.000 0.000 5.832
0.000 -1.753 4.478
-1.518 0.877 4.478
0.000 0.000 2.068
-1.487 -0.859 7.089
1.518 0.877 4.478
1.487 -0.859 7.089
0.000 1.717 7.089
0.000 0.000 9.630
```

## Properties
Total energy in eV/atom: -8.12
Density of states at the Fermi level in states/eV/cell: 0.12

Question: The highest density of states at the Fermi level belongs to which entry?
Answer: MnMoOsO2